No. 1
First-principles (PBE-GGA) data for Sr4LiLa3S8 after structural relaxation, as listed in Alexandria.

Lattice parameters (Å, degrees): 8.3661 8.3661 20.6528 90.00 90.00 120.00
Space group R-3m (No. 166, hexagonal axes)
Symmetry-distinct sites (fractional):
1 Sr 0.0000 0.0000 0.0000 (multiplicity 3)
2 Sr 0.0000 0.5000 0.0000 (multiplicity 9)
3 Li 0.0000 0.0000 0.5000 (multiplicity 3)
4 La 0.0000 0.5000 0.5000 (multiplicity 9)
5 S 0.0000 0.0000 0.2480 (multiplicity 6)
6 S 0.0005 0.5002 0.2465 (multiplicity 18)

* ΔE_f (raw): -2041 meV/atom

=====

No. 2
First-principles (PBE-GGA) data for Li2CuReBi after structural relaxation, as listed in Alexandria.

Lattice parameters (Å, degrees): 5.137 5.137 4.972 90.00 90.00 90.00
Space group P4/mmm (No. 123)
Symmetry-distinct sites (fractional):
1 Li 0.000 0.500 0.000 (multiplicity 2)
2 Cu 0.000 0.000 0.500 (multiplicity 1)
3 Re 0.500 0.500 0.500 (multiplicity 1)
4 Bi 0.000 0.000 0.000 (multiplicity 1)

* formation enthalpy at 0 K: 1.357 eV/atom

=====

No. 3
First-principles (PBE-GGA) data for CuSb2Cl after structural relaxation, as listed in Alexandria.

Lattice parameters (Å, degrees): 4.295 5.143 8.020 90.00 90.00 90.00
Space group Cmmm (No. 65)
Symmetry-distinct sites (fractional):
1 Cu 0.000 0.000 0.000 (multiplicity 2)
2 Sb 0.000 0.500 0.209 (multiplicity 4)
3 Cl 0.000 0.000 0.500 (multiplicity 2)

* ΔE_f (raw): -7 meV/atom

=====

No. 4
First-principles (PBE-GGA) data for SrY2Cu after structural relaxation, as listed in Alexandria.

Lattice parameters (Å, degrees): 7.804 7.804 7.804 90.00 90.00 90.00
Space group F-43m (No. 216)
Symmetry-distinct sites (fractional):
1 Sr 0.000 0.000 0.000 (multiplicity 4)
2 Y 0.000 0.000 0.500 (multiplicity 4)
3 Y 0.250 0.250 0.250 (multiplicity 4)
4 Cu 0.250 0.250 0.750 (multiplicity 4)

* formation enthalpy at 0 K: 0.388 eV/atom

=====

No. 5
First-principles (PBE-GGA) data for Ca2TaW after structural relaxation, as listed in Alexandria.

Lattice parameters (Å, degrees): 2.921 2.921 10.848 90.00 90.00 90.00
Space group P4mm (No. 99)
Symmetry-distinct sites (fractional):
1 Ca 0.000 0.000 0.000 (multiplicity 1)
2 Ca 0.500 0.500 0.313 (multiplicity 1)
3 Ta 0.000 0.000 0.567 (multiplicity 1)
4 W 0.500 0.500 0.768 (multiplicity 1)

* formation enthalpy at 0 K: 0.808 eV/atom

=====

No. 6
First-principles (PBE-GGA) data for KCaPt4 after structural relaxation, as listed in Alexandria.

Lattice parameters (Å, degrees): 7.759 7.759 7.759 90.00 90.00 90.00
Space group F-43m (No. 216)
Symmetry-distinct sites (fractional):
1 K 0.000 0.000 0.000 (multiplicity 4)
2 Ca 0.250 0.250 0.250 (multiplicity 4)
3 Pt 0.125 0.125 0.625 (multiplicity 16)

* formation enthalpy at 0 K: -0.595 eV/atom

=====

No. 7
First-principles (PBE-GGA) data for SrPCl2 after structural relaxation, as listed in Alexandria.

Lattice parameters (Å, degrees): 4.835 4.835 18.393 90.00 90.00 90.00
Space group I-42d (No. 122)
Symmetry-distinct sites (fractional):
1 Sr 0.000 0.000 0.000 (multiplicity 4)
2 P 0.000 0.000 0.500 (multiplicity 4)
3 Cl 0.220 0.250 0.625 (multiplicity 8)

* ΔE_f (raw): -827 meV/atom

=====

No. 8
First-principles (PBE-GGA) data for CaSi2Au after structural relaxation, as listed in Alexandria.

Lattice parameters (Å, degrees): 3.187 4.576 5.285 90.00 90.00 90.00
Space group Pmm2 (No. 25)
Symmetry-distinct sites (fractional):
1 Ca 0.000 0.000 0.000 (multiplicity 1)
2 Si 0.500 0.000 0.512 (multiplicity 1)
3 Si 0.500 0.500 0.741 (multiplicity 1)
4 Au 0.500 0.500 0.244 (multiplicity 1)

* ΔE_f (raw): -211 meV/atom

=====

No. 9
First-principles (PBE-GGA) data for ScAlZnHg after structural relaxation, as listed in Alexandria.

Lattice parameters (Å, degrees): 4.173 4.224 4.227 90.00 90.00 90.00
Space group Pmmm (No. 47)
Symmetry-distinct sites (fractional):
1 Sc 0.000 0.000 0.000 (multiplicity 1)
2 Al 0.500 0.000 0.500 (multiplicity 1)
3 Zn 0.500 0.500 0.000 (multiplicity 1)
4 Hg 0.000 0.500 0.500 (multiplicity 1)

* formation enthalpy at 0 K: -0.284 eV/atom

=====

No. 10
First-principles (PBE-GGA) data for Pm12PrSm6 after structural relaxation, as listed in Alexandria.

Lattice parameters (Å, degrees): 12.2339 12.2339 15.3263 90.00 90.00 120.00
Space group R-3 (No. 148, hexagonal axes)
Symmetry-distinct sites (fractional):
1 Pm 0.0065 0.1749 0.1914 (multiplicity 18)
2 Pm 0.0463 0.1950 0.4167 (multiplicity 18)
3 Pr 0.0000 0.0000 0.0000 (multiplicity 3)
4 Sm 0.0118 0.5886 0.6841 (multiplicity 18)

* formation enthalpy at 0 K: 0.134 eV/atom

=====

No. 11
First-principles (PBE-GGA) data for VCo4Ni after structural relaxation, as listed in Alexandria.

Lattice parameters (Å, degrees): 3.9703 3.9703 4.9484 90.00 90.00 120.00
Space group P6/mmm (No. 191)
Symmetry-distinct sites (fractional):
1 V 0.0000 0.0000 0.0000 (multiplicity 1)
2 Co 0.3333 0.6667 0.2553 (multiplicity 4)
3 Ni 0.0000 0.0000 0.5000 (multiplicity 1)

* formation enthalpy at 0 K: 0.000 eV/atom

=====

No. 12
First-principles (PBE-GGA) data for KBaPd2Ru after structural relaxation, as listed in Alexandria.

Lattice parameters (Å, degrees): 5.098 5.098 5.306 90.00 90.00 90.00
Space group P4/mmm (No. 123)
Symmetry-distinct sites (fractional):
1 K 0.000 0.000 0.000 (multiplicity 1)
2 Ba 0.500 0.500 0.000 (multiplicity 1)
3 Pd 0.000 0.500 0.500 (multiplicity 2)
4 Ru 0.000 0.000 0.500 (multiplicity 1)

* formation enthalpy at 0 K: 0.534 eV/atom

=====

No. 13
First-principles (PBE-GGA) data for CdTc2BiN after structural relaxation, as listed in Alexandria.

Lattice parameters (Å, degrees): 5.219 5.219 4.343 90.00 90.00 90.00
Space group P4/mmm (No. 123)
Symmetry-distinct sites (fractional):
1 Cd 0.000 0.000 0.000 (multiplicity 1)
2 Tc 0.000 0.500 0.500 (multiplicity 2)
3 Bi 0.500 0.500 0.500 (multiplicity 1)
4 N 0.500 0.500 0.000 (multiplicity 1)

* ΔE_f (raw): 2129 meV/atom

=====

No. 14
First-principles (PBE-GGA) data for Tb2SmTm5 after structural relaxation, as listed in Alexandria.

Lattice parameters (Å, degrees): 6.685 9.242 9.381 61.52 88.29 87.72
Space group P-1 (No. 2)
Symmetry-distinct sites (fractional):
1 Tb 0.080 0.124 0.073 (multiplicity 2)
2 Tb 0.419 0.814 0.059 (multiplicity 2)
3 Sm 0.244 0.534 0.956 (multiplicity 2)
4 Tm 0.083 0.556 0.313 (multiplicity 2)
5 Tm 0.107 0.832 0.567 (multiplicity 2)
6 Tm 0.282 0.153 0.675 (multiplicity 2)
7 Tm 0.408 0.164 0.313 (multiplicity 2)
8 Tm 0.411 0.545 0.621 (multiplicity 2)

* formation enthalpy at 0 K: 0.150 eV/atom

=====

No. 15
First-principles (PBE-GGA) data for CdHg2Te after structural relaxation, as listed in Alexandria.

Lattice parameters (Å, degrees): 4.417 6.425 8.188 90.00 90.00 90.00
Space group Imm2 (No. 44)
Symmetry-distinct sites (fractional):
1 Cd 0.000 0.000 0.000 (multiplicity 2)
2 Hg 0.000 0.000 0.506 (multiplicity 2)
3 Hg 0.000 0.500 0.255 (multiplicity 2)
4 Te 0.000 0.500 0.737 (multiplicity 2)

* ΔE_f (raw): 0 meV/atom

=====

No. 16
First-principles (PBE-GGA) data for RbInAu4 after structural relaxation, as listed in Alexandria.

Lattice parameters (Å, degrees): 10.693 7.764 7.481 90.00 107.72 90.00
Space group C2/m (No. 12)
Symmetry-distinct sites (fractional):
1 Rb 0.181 0.000 0.267 (multiplicity 4)
2 In 0.113 0.500 0.229 (multiplicity 4)
3 Au 0.000 0.317 0.500 (multiplicity 4)
4 Au 0.112 0.284 0.910 (multiplicity 8)
5 Au 0.115 0.000 0.671 (multiplicity 4)

* formation enthalpy at 0 K: -0.166 eV/atom

=====

No. 17
First-principles (PBE-GGA) data for Pm2TmCdAu4 after structural relaxation, as listed in Alexandria.

Lattice parameters (Å, degrees): 5.0608 5.0608 25.2212 90.00 90.00 120.00
Space group R-3m (No. 166, hexagonal axes)
Symmetry-distinct sites (fractional):
1 Pm 0.0000 0.0000 0.2428 (multiplicity 6)
2 Tm 0.0000 0.0000 0.0000 (multiplicity 3)
3 Cd 0.0000 0.0000 0.5000 (multiplicity 3)
4 Au 0.0000 0.0000 0.1183 (multiplicity 6)
5 Au 0.0000 0.0000 0.3644 (multiplicity 6)

* formation enthalpy at 0 K: -0.771 eV/atom

=====

No. 18
First-principles (PBE-GGA) data for NdSmHoPu after structural relaxation, as listed in Alexandria.

Lattice parameters (Å, degrees): 8.010 8.010 8.010 90.00 90.00 90.00
Space group F-43m (No. 216)
Symmetry-distinct sites (fractional):
1 Nd 0.000 0.000 0.000 (multiplicity 4)
2 Sm 0.000 0.000 0.500 (multiplicity 4)
3 Ho 0.250 0.250 0.750 (multiplicity 4)
4 Pu 0.250 0.250 0.250 (multiplicity 4)

* formation enthalpy at 0 K: 0.213 eV/atom

=====

No. 19
First-principles (PBE-GGA) data for Sc5CS4 after structural relaxation, as listed in Alexandria.

Lattice parameters (Å, degrees): 8.139 8.139 5.120 90.00 90.00 90.00
Space group I4/m (No. 87)
Symmetry-distinct sites (fractional):
1 Sc 0.000 0.000 0.000 (multiplicity 2)
2 Sc 0.090 0.735 0.500 (multiplicity 8)
3 C 0.000 0.000 0.500 (multiplicity 2)
4 S 0.094 0.696 0.000 (multiplicity 8)

* ΔE_f (raw): -1667 meV/atom

=====

No. 20
First-principles (PBE-GGA) data for InGa2GeO after structural relaxation, as listed in Alexandria.

Lattice parameters (Å, degrees): 5.259 5.259 5.192 90.00 90.00 90.00
Space group P4/mmm (No. 123)
Symmetry-distinct sites (fractional):
1 In 0.000 0.000 0.000 (multiplicity 1)
2 Ga 0.000 0.500 0.000 (multiplicity 2)
3 Ge 0.000 0.000 0.500 (multiplicity 1)
4 O 0.500 0.500 0.500 (multiplicity 1)

* ΔE_f (raw): 962 meV/atom

=====

No. 21
First-principles (PBE-GGA) data for TbCu4Pt2 after structural relaxation, as listed in Alexandria.

Lattice parameters (Å, degrees): 7.278 7.278 5.352 90.00 90.00 90.00
Space group I4/mmm (No. 139)
Symmetry-distinct sites (fractional):
1 Tb 0.000 0.000 0.000 (multiplicity 2)
2 Cu 0.000 0.220 0.500 (multiplicity 8)
3 Pt 0.000 0.500 0.250 (multiplicity 4)

* formation enthalpy at 0 K: 0.198 eV/atom

=====

No. 22
First-principles (PBE-GGA) data for TlAuBr2 after structural relaxation, as listed in Alexandria.

Lattice parameters (Å, degrees): 4.177 4.046 7.562 90.00 90.17 90.00
Space group P2/m (No. 10)
Symmetry-distinct sites (fractional):
1 Tl 0.000 0.000 0.000 (multiplicity 1)
2 Au 0.500 0.000 0.500 (multiplicity 1)
3 Br 0.499 0.500 0.745 (multiplicity 2)

* ΔE_f (raw): -324 meV/atom

=====

No. 23
First-principles (PBE-GGA) data for TaNiPb2 after structural relaxation, as listed in Alexandria.

Lattice parameters (Å, degrees): 3.237 5.393 9.413 90.00 90.00 90.00
Space group Immm (No. 71)
Symmetry-distinct sites (fractional):
1 Ta 0.000 0.000 0.000 (multiplicity 2)
2 Ni 0.000 0.000 0.500 (multiplicity 2)
3 Pb 0.000 0.500 0.220 (multiplicity 4)

* formation enthalpy at 0 K: 0.622 eV/atom

=====

No. 24
First-principles (PBE-GGA) data for B2AuCl after structural relaxation, as listed in Alexandria.

Lattice parameters (Å, degrees): 5.328 5.328 9.420 90.00 90.00 90.00
Space group I-42d (No. 122)
Symmetry-distinct sites (fractional):
1 B 0.212 0.250 0.125 (multiplicity 8)
2 Au 0.000 0.000 0.000 (multiplicity 4)
3 Cl 0.000 0.000 0.500 (multiplicity 4)

* ΔE_f (raw): 1085 meV/atom

=====

No. 25
First-principles (PBE-GGA) data for BeNi2Pt after structural relaxation, as listed in Alexandria.

Lattice parameters (Å, degrees): 2.6386 2.6386 23.2048 90.00 90.00 120.00
Space group R-3m (No. 166, hexagonal axes)
Symmetry-distinct sites (fractional):
1 Be 0.0000 0.0000 0.0000 (multiplicity 3)
2 Ni 0.0000 0.0000 0.2614 (multiplicity 6)
3 Pt 0.0000 0.0000 0.5000 (multiplicity 3)

* formation enthalpy at 0 K: -0.124 eV/atom

=====

No. 26
First-principles (PBE-GGA) data for CsCr2H2Se6 after structural relaxation, as listed in Alexandria.

Lattice parameters (Å, degrees): 6.653 6.883 7.094 115.90 95.22 115.32
Space group P-1 (No. 2)
Symmetry-distinct sites (fractional):
1 Cs 0.000 0.000 0.000 (multiplicity 1)
2 Cr 0.351 0.356 0.667 (multiplicity 2)
3 H 0.421 0.890 0.151 (multiplicity 2)
4 Se 0.102 0.877 0.497 (multiplicity 2)
5 Se 0.338 0.609 0.060 (multiplicity 2)
6 Se 0.423 0.697 0.597 (multiplicity 2)

* uncorrected energy: -51.233 eV/f.u.